Below is BaCe2Gd after structural relaxation, with properties calculated at the PBE level.

extended XYZ file:
```
4
Lattice="-1.795 2.635 1.558 -3.446 -0.400 0.749 1.320 -4.006 12.336" Properties=species:S:1:pos:R:3 pbc="T T T"
Gd -1.960 -0.886 7.322
Ba 0.000 0.000 0.000
Ce 0.472 -2.693 9.138
Ce -4.393 0.921 5.505
```

Output
Crystal system: trigonal
Final energy, eV/atom: -6.630
Space-group type: No. 166
DFT formation energy, eV/atom: 0.338
Density, Mg/m³: 6.80